# 1
Entry from OQMD: crystalline BaPAu at its relaxed geometry (PBE).

Computed properties:
The space group is P-62m. The calculation puts the total energy at -4.1443 eV/atom.

Cell and atoms, written as extended XYZ:
```
9
Lattice="7.4774 0.0000 0.0000 -3.7387 6.4756 0.0000 0.0000 0.0000 4.6732" Properties=species:S:1:pos:R:3 pbc="T T T"
Ba -2.1968 3.8050 0.0000
Ba 1.5419 2.6706 0.0000
Ba 4.3936 0.0000 0.0000
P 0.0000 0.0000 0.0000
P 0.0000 4.3171 2.3366
P 3.7387 2.1585 2.3366
Au -0.9312 1.6128 2.3366
Au 1.8623 0.0000 2.3366
Au 2.8075 4.8628 2.3366
```


# 2
Entry from OQMD: crystalline Sc2Cd2AgHgAu2 at its relaxed geometry (PBE).

Computed properties:
The space group is P-4m2. As for the formation energy from the elements: -0.44 eV per atom. The calculation puts the total energy at -3.4535 eV/atom. The spin magnetization is 0.0 μB/f.u.

Cell and atoms, written as extended XYZ:
```
8
Lattice="4.8194 0.0000 0.0000 0.0000 4.8194 0.0000 0.0000 0.0000 6.8040" Properties=species:S:1:pos:R:3 pbc="T T T"
Sc 0.0000 2.4097 1.6757
Sc 2.4097 0.0000 5.1283
Cd 0.0000 2.4097 5.1556
Cd 2.4097 0.0000 1.6484
Ag 2.4097 2.4097 0.0000
Hg 0.0000 0.0000 3.4020
Au 0.0000 0.0000 0.0000
Au 2.4097 2.4097 3.4020
```


# 3
Entry from OQMD: crystalline ZnGaIr2 at its relaxed geometry (PBE).

Computed properties:
The space group is P4/mmm. The calculation puts the total energy at -5.8321 eV/atom. The spin magnetization is 0.0 μB/f.u.

Cell and atoms, written as extended XYZ:
```
4
Lattice="4.2987 0.0000 0.0000 0.0000 4.2987 0.0000 0.0000 0.0000 3.0371" Properties=species:S:1:pos:R:3 pbc="T T T"
Zn 0.0000 0.0000 0.0000
Ga 2.1494 2.1494 0.0000
Ir 0.0000 2.1494 1.5185
Ir 2.1494 0.0000 1.5185
```